Entry 1:
A plane-wave DFT calculation with PBE was carried out for a relaxed structure of Tm2SbSe2.

The formation energy (no corrections) comes out at -1.2133 eV per atom.

It has space group C2/c (No. 15), with a = 9.699 Å, b = 10.552 Å, c = 6.547 Å, α = 90.00°, β = 120.15° and γ = 90.00°. The distinct sites, in fractional coordinates, are Tm at (0.000, 0.097, 0.250), Tm at (0.000, 0.323, 0.750), Sb at (0.000, 0.380, 0.250) and Se at (0.180, 0.101, 0.027).

Entry 2:
A plane-wave DFT calculation with PBE was carried out for a relaxed structure of Co2TeIrC.

The formation energy (no corrections) comes out at 2.2489 eV per atom.

It has space group P4/mmm (No. 123), with a = 4.583 Å, b = 4.583 Å, c = 4.156 Å, α = 90.00°, β = 90.00° and γ = 90.00°. The distinct sites, in fractional coordinates, are Co at (0.000, 0.500, 0.000), Te at (0.000, 0.000, 0.000), Ir at (0.500, 0.500, 0.500) and C at (0.000, 0.000, 0.500).

Entry 3:
A plane-wave DFT calculation with PBE was carried out for a relaxed structure of RbSc2WC.

The formation energy is 3.509 eV/atom.

It has space group P4/mmm (No. 123), with a = 4.934 Å, b = 4.934 Å, c = 4.705 Å, α = 90.00°, β = 90.00° and γ = 90.00°. The distinct sites, in fractional coordinates, are Rb at (0.000, 0.000, 0.000), Sc at (0.000, 0.500, 0.000), W at (0.000, 0.000, 0.500) and C at (0.500, 0.500, 0.500).

no.,M_tot (μB/cell)
1,0.000
2,3.261
3,0.544